VASP calculation (meta-GGA SCAN) on a PBEsol-optimized structure of Ca3Cd5.

```
data_Ca3Cd5
_chemical_formula_sum 'Ca6 Cd10'
_cell_length_a 7.679
_cell_length_b 10.351
_cell_length_c 5.032
_cell_angle_alpha 90.00
_cell_angle_beta 90.00
_cell_angle_gamma 90.00
_space_group_name_H-M_alt 'C m m m'
_space_group_IT_number 65
_space_group_name_Hall '-C 2 2'
loop_
_atom_site_label
_atom_site_type_symbol
_atom_site_fract_x
_atom_site_fract_y
_atom_site_fract_z
Ca1 Ca 0.000 0.000 0.000
Ca2 Ca 0.000 0.262 0.500
Cd1 Cd 0.000 0.500 0.000
Cd2 Cd 0.250 0.000 0.500
Cd3 Cd 0.250 0.250 0.000
```

**Formation enthalpy at 0 K**: -0.32 eV/atom
**VASP energy**: -367.25 eV/cell
**N(E_F)**: 7.66 states/eV/cell
**Total moment**: 0.0 Bohr magnetons per cell
**ρ**: 5.67 g/cm³
**Volume**: 25.0 Å³/atom

=====

VASP calculation (meta-GGA SCAN) on a PBEsol-optimized structure of YSc2Tl.

```
data_YSc2Tl
_chemical_formula_sum 'Y2 Sc4 Tl2'
_cell_length_a 4.439
_cell_length_b 4.439
_cell_length_c 9.686
_cell_angle_alpha 90.00
_cell_angle_beta 90.00
_cell_angle_gamma 90.00
_space_group_name_H-M_alt 'I -4 m 2'
_space_group_IT_number 119
_space_group_name_Hall 'I -4 -2'
loop_
_atom_site_label
_atom_site_type_symbol
_atom_site_fract_x
_atom_site_fract_y
_atom_site_fract_z
Y1 Y 0.000 0.000 0.000
Sc1 Sc 0.000 0.000 0.500
Sc2 Sc 0.000 0.500 0.250
Tl1 Tl 0.000 0.500 0.750
```

**Formation enthalpy at 0 K**: -0.29 eV/atom
**VASP energy**: -259.67 eV/cell
**N(E_F)**: 8.07 states/eV/cell
**Offset from the most stable computed form**: 0.054 eV/atom
**Total moment**: 0.0 Bohr magnetons per cell
**ρ**: 6.67 g/cm³
**Volume**: 23.9 Å³/atom

=====

VASP calculation (meta-GGA SCAN) on a PBEsol-optimized structure of ReOs.

```
data_ReOs
_chemical_formula_sum 'Re4 Os4'
_cell_length_a 4.750
_cell_length_b 4.357
_cell_length_c 5.493
_cell_angle_alpha 90.00
_cell_angle_beta 90.00
_cell_angle_gamma 90.00
_space_group_name_H-M_alt 'P n m a'
_space_group_IT_number 62
loop_
_space_group_symop_operation_xyz
'x,y,z'
'-x,-y,-z'
'-x+1/2,-y,z+1/2'
'x+1/2,y,-z+1/2'
'x+1/2,-y+1/2,-z+1/2'
'-x+1/2,y+1/2,z+1/2'
'-x,y+1/2,-z'
'x,-y+1/2,z'
loop_
_atom_site_label
_atom_site_type_symbol
_atom_site_fract_x
_atom_site_fract_y
_atom_site_fract_z
Re1 Re 0.084 0.250 0.124
Os1 Os 0.083 0.250 0.626
```

**Formation enthalpy at 0 K**: -0.10 eV/atom
**VASP energy**: -572.75 eV/cell
**N(E_F)**: 5.04 states/eV/cell
**Offset from the most stable computed form**: 0.009 eV/atom
**Total moment**: 0.0 Bohr magnetons per cell
**ρ**: 22.00 g/cm³
**Volume**: 14.2 Å³/atom